(1)
Tm6Pd8Pt after structural relaxation. Source: the Alexandria database, functional PBE.

Calculated values
- Calculated total energy: -85.9 eV for the cell shown
- Space group: R-3

a = 7.3671 Å, b = 7.3671 Å, c = 7.3671 Å
α = 66.21°, β = 66.21°, γ = 66.21°
Closest atoms and distances in Å follow each position.
Atoms (fractional coordinates):
Tm: 0.1149 0.8146 0.3729  6 Pd 2.71-2.99
Tm: 0.1854 0.6271 0.8851  6 Pd 2.71-2.99
Tm: 0.3729 0.1149 0.8146  6 Pd 2.71-2.99
Tm: 0.6271 0.8851 0.1854  6 Pd 2.71-2.99
Tm: 0.8146 0.3729 0.1149  6 Pd 2.71-2.99
Tm: 0.8851 0.1854 0.6271  6 Pd 2.71-2.99
Pd: 0.0628 0.4341 0.6811  5 Tm 2.71-2.99, 2 Pd 2.80-2.85
Pd: 0.2068 0.2068 0.2068  3 Pd 2.80, 6 Tm 2.89-3.04
Pd: 0.3189 0.9372 0.5659  5 Tm 2.71-2.99, 2 Pd 2.80-2.85
Pd: 0.4341 0.6811 0.0628  5 Tm 2.71-2.99, 2 Pd 2.80-2.85
Pd: 0.5659 0.3189 0.9372  5 Tm 2.71-2.99, 2 Pd 2.80-2.85
Pd: 0.6811 0.0628 0.4341  5 Tm 2.71-2.99, 2 Pd 2.80-2.85
Pd: 0.7932 0.7932 0.7932  3 Pd 2.80, 6 Tm 2.89-3.04
Pd: 0.9372 0.5659 0.3189  5 Tm 2.71-2.99, 2 Pd 2.80-2.85
Pt: 0.5000 0.5000 0.5000  6 Tm 3.06, 6 Pd 3.11

***

(2)
TmPd2Pt2 after structural relaxation. Source: the Alexandria database, functional PBE.

Calculated values
- Calculated total energy: -57.1 eV for the cell shown
- Space group: P6_3/mmc

a = 4.5573 Å, b = 4.5573 Å, c = 10.3924 Å
α = 90.00°, β = 90.00°, γ = 120.00°
Closest atoms and distances in Å follow each position.
Atoms (fractional coordinates):
Tm: 0.0000 0.0000 0.2500  5 Pt 2.60-2.63
Tm: 0.0000 0.0000 0.7500  5 Pt 2.60-2.63
Pd: 0.3333 0.6667 0.0737  3 Pt 2.74, 3 Pd 3.04
Pd: 0.3333 0.6667 0.4263  3 Pt 2.74, 3 Pd 3.04
Pd: 0.6667 0.3333 0.5737  3 Pt 2.74, 3 Pd 3.04
Pd: 0.6667 0.3333 0.9263  3 Pt 2.74, 3 Pd 3.04
Pt: 0.0000 0.0000 0.0000  2 Tm 2.60, 6 Pd 2.74
Pt: 0.0000 0.0000 0.5000  2 Tm 2.60, 6 Pd 2.74
Pt: 0.3333 0.6667 0.7500  3 Tm 2.63
Pt: 0.6667 0.3333 0.2500  3 Tm 2.63

***

(3)
TmPd4Pt2 after structural relaxation. Source: the Alexandria database, functional PBE.

Calculated values
- Calculated total energy: -80.7 eV for the cell shown
- Space group: P2_1/m

a = 7.0589 Å, b = 5.1940 Å, c = 7.1284 Å
α = 90.00°, β = 112.34°, γ = 90.00°
Closest atoms and distances in Å follow each position.
Atoms (fractional coordinates):
Tm: 0.2490 0.2500 0.2229  4 Pd 2.71-2.97, 4 Pt 2.90-2.95
Tm: 0.7510 0.7500 0.7771  4 Pd 2.71-2.97, 4 Pt 2.90-2.95
Pd: 0.1762 0.7500 0.9276  3 Pd 2.64-2.88, 3 Pt 2.77-2.90, 1 Tm 2.78
Pd: 0.2143 0.5012 0.5827  5 Pd 2.58-2.88, 4 Pt 2.78-2.79
Pd: 0.2143 0.9988 0.5827  5 Pd 2.58-2.88, 4 Pt 2.78-2.79
Pd: 0.4193 0.2500 0.9397  5 Pd 2.64-2.83, 1 Tm 2.71, 2 Pt 2.74-2.84
Pd: 0.5807 0.7500 0.0603  5 Pd 2.64-2.83, 1 Tm 2.71, 2 Pt 2.74-2.84
Pd: 0.7857 0.0012 0.4173  5 Pd 2.58-2.88, 4 Pt 2.78-2.79
Pd: 0.7857 0.4988 0.4173  5 Pd 2.58-2.88, 4 Pt 2.78-2.79
Pd: 0.8238 0.2500 0.0724  3 Pd 2.64-2.88, 3 Pt 2.77-2.90, 1 Tm 2.78
Pt: 0.0008 0.7500 0.2162  8 Pd 2.74-2.90, 1 Pt 2.76, 1 Tm 2.95
Pt: 0.4228 0.7500 0.3723  1 Pt 2.76, 6 Pd 2.78-2.98, 3 Tm 2.90-2.93
Pt: 0.5772 0.2500 0.6277  1 Pt 2.76, 6 Pd 2.78-2.98, 3 Tm 2.90-2.93
Pt: 0.9992 0.2500 0.7838  8 Pd 2.74-2.90, 1 Pt 2.76, 1 Tm 2.95

***

(4)
Tm4PdPt7 after structural relaxation. Source: the Alexandria database, functional PBE.

Calculated values
- Calculated total energy: -75.7 eV for the cell shown
- Space group: C2/m

a = 5.8946 Å, b = 5.8946 Å, c = 10.2178 Å
α = 116.17°, β = 116.17°, γ = 51.90°
Closest atoms and distances in Å follow each position.
Atoms (fractional coordinates):
Tm: 0.0958 0.0958 0.2870  8 Pt 2.79-3.03
Tm: 0.2842 0.2842 0.8602  5 Pt 2.74-2.96
Tm: 0.7158 0.7158 0.1398  5 Pt 2.74-2.96
Tm: 0.9042 0.9042 0.7130  8 Pt 2.79-3.03
Pd: 0.5000 0.5000 0.5000  6 Pt 2.58-2.84
Pt: 0.0000 0.0000 0.5000  2 Pd 2.58, 2 Pt 2.74, 2 Tm 2.82
Pt: 0.1346 0.1346 0.0266  2 Pt 2.63-2.68, 5 Tm 2.78-2.92
Pt: 0.2904 0.2904 0.5952  2 Pt 2.72-2.74, 4 Tm 2.74-2.85, 1 Pd 2.83
Pt: 0.4245 0.4245 0.1924  2 Pt 2.68-2.72, 1 Pd 2.84, 1 Tm 2.96
Pt: 0.5755 0.5755 0.8076  2 Pt 2.68-2.72, 1 Pd 2.84, 1 Tm 2.96
Pt: 0.7096 0.7096 0.4048  2 Pt 2.72-2.74, 4 Tm 2.74-2.85, 1 Pd 2.83
Pt: 0.8654 0.8654 0.9734  2 Pt 2.63-2.68, 5 Tm 2.78-2.92

***

(5)
Tm4Pd5Pt4 after structural relaxation. Source: the Alexandria database, functional PBE.

Calculated values
- Calculated total energy: -80.2 eV for the cell shown
- Space group: I4/m

a = 7.7824 Å, b = 7.7824 Å, c = 7.7824 Å
α = 94.13°, β = 94.13°, γ = 148.86°
Closest atoms and distances in Å follow each position.
Atoms (fractional coordinates):
Tm: 0.1299 0.7705 0.9004  6 Pd 2.80-3.03, 4 Pt 2.83-3.12
Tm: 0.2295 0.1299 0.3594  6 Pd 2.80-3.03, 4 Pt 2.83-3.12
Tm: 0.7705 0.8701 0.6406  6 Pd 2.80-3.03, 4 Pt 2.83-3.12
Tm: 0.8701 0.2295 0.0996  6 Pd 2.80-3.03, 4 Pt 2.83-3.12
Pd: 0.0000 0.0000 0.0000  4 Tm 2.80, 8 Pd 2.94
Pd: 0.3109 0.5490 0.8599  5 Tm 2.85-3.03, 4 Pd 2.93-2.94, 3 Pt 2.95-2.98
Pd: 0.4510 0.3109 0.7620  5 Tm 2.85-3.03, 4 Pd 2.93-2.94, 3 Pt 2.95-2.98
Pd: 0.5490 0.6891 0.2380  5 Tm 2.85-3.03, 4 Pd 2.93-2.94, 3 Pt 2.95-2.98
Pd: 0.6891 0.4510 0.1401  5 Tm 2.85-3.03, 4 Pd 2.93-2.94, 3 Pt 2.95-2.98
Pt: 0.0854 0.3866 0.4720  4 Tm 2.83-3.12, 3 Pd 2.95-2.98, 5 Pt 2.98-3.01
Pt: 0.3866 0.9146 0.3013  4 Tm 2.83-3.12, 3 Pd 2.95-2.98, 5 Pt 2.98-3.01
Pt: 0.6134 0.0854 0.6987  4 Tm 2.83-3.12, 3 Pd 2.95-2.98, 5 Pt 2.98-3.01
Pt: 0.9146 0.6134 0.5280  4 Tm 2.83-3.12, 3 Pd 2.95-2.98, 5 Pt 2.98-3.01

***

(6)
TmPdPt4 after structural relaxation. Source: the Alexandria database, functional PBE.

Calculated values
- Calculated total energy: -75.3 eV for the cell shown
- Space group: C2/m

a = 4.9780 Å, b = 8.7663 Å, c = 4.9310 Å
α = 90.00°, β = 110.53°, γ = 90.00°
Closest atoms and distances in Å follow each position.
Atoms (fractional coordinates):
Tm: 0.0000 0.0000 0.0000  2 Pd 2.82, 10 Pt 2.88-2.94
Tm: 0.5000 0.5000 0.0000  2 Pd 2.82, 10 Pt 2.88-2.94
Pd: 0.0000 0.5000 0.5000  2 Tm 2.82, 10 Pt 2.84-2.93
Pd: 0.5000 0.0000 0.5000  2 Tm 2.82, 10 Pt 2.84-2.93
Pt: 0.0000 0.1758 0.5000  7 Pt 2.81-3.08, 3 Pd 2.84-2.93, 2 Tm 2.91
Pt: 0.0000 0.3356 0.0000  7 Pt 2.82-2.91, 2 Pd 2.86, 3 Tm 2.88-2.94
Pt: 0.0000 0.6644 0.0000  7 Pt 2.82-2.91, 2 Pd 2.86, 3 Tm 2.88-2.94
Pt: 0.0000 0.8242 0.5000  7 Pt 2.81-3.08, 3 Pd 2.84-2.93, 2 Tm 2.91
Pt: 0.5000 0.1644 0.0000  7 Pt 2.82-2.91, 2 Pd 2.86, 3 Tm 2.88-2.94
Pt: 0.5000 0.3242 0.5000  7 Pt 2.81-3.08, 3 Pd 2.84-2.93, 2 Tm 2.91
Pt: 0.5000 0.6758 0.5000  7 Pt 2.81-3.08, 3 Pd 2.84-2.93, 2 Tm 2.91
Pt: 0.5000 0.8356 0.0000  7 Pt 2.82-2.91, 2 Pd 2.86, 3 Tm 2.88-2.94

***

(7)
Tm4PdPt5 after structural relaxation. Source: the Alexandria database, functional PBE.

Calculated values
- Calculated total energy: -65.5 eV for the cell shown
- Space group: C2/m

a = 8.4717 Å, b = 8.4717 Å, c = 5.5792 Å
α = 98.57°, β = 98.57°, γ = 30.31°
Closest atoms and distances in Å follow each position.
Atoms (fractional coordinates):
Tm: 0.1105 0.1105 0.2943  6 Pt 2.80-3.04
Tm: 0.3283 0.3283 0.1741  7 Pt 2.83-3.11, 1 Pd 3.10
Tm: 0.6717 0.6717 0.8259  7 Pt 2.83-3.11, 1 Pd 3.10
Tm: 0.8895 0.8895 0.7057  6 Pt 2.80-3.04
Pd: 0.5000 0.5000 0.5000  6 Pt 2.79, 2 Tm 3.10
Pt: 0.0630 0.0630 0.7736  2 Pd 2.79, 5 Tm 2.80-2.90, 2 Pt 2.82
Pt: 0.2679 0.2679 0.6628  2 Pt 2.87, 7 Tm 2.87-3.04
Pt: 0.5000 0.5000 0.0000  2 Pd 2.79, 4 Pt 2.82, 2 Tm 3.11
Pt: 0.7321 0.7321 0.3372  2 Pt 2.87, 7 Tm 2.87-3.04
Pt: 0.9370 0.9370 0.2264  2 Pd 2.79, 5 Tm 2.80-2.90, 2 Pt 2.82

***

(8)
TmPd5Pt after structural relaxation. Source: the Alexandria database, functional PBE.

Calculated values
- Calculated total energy: -77.0 eV for the cell shown
- Space group: Imm2

a = 5.0139 Å, b = 5.3364 Å, c = 9.4418 Å
α = 90.00°, β = 90.00°, γ = 90.00°
Closest atoms and distances in Å follow each position.
Atoms (fractional coordinates):
Tm: 0.0000 0.0000 0.0000  3 Pd 2.60-2.73
Tm: 0.5000 0.5000 0.5000  3 Pd 2.60-2.73
Pd: 0.0000 0.0000 0.7251  1 Tm 2.60, 6 Pd 2.65-2.84, 2 Pt 2.67
Pd: 0.0000 0.2548 0.2504  6 Pd 2.62-2.84, 1 Tm 2.73, 2 Pt 2.87
Pd: 0.0000 0.7452 0.2504  6 Pd 2.62-2.84, 1 Tm 2.73, 2 Pt 2.87
Pd: 0.2492 0.5000 0.9784  3 Pd 2.50-2.65
Pd: 0.2508 0.0000 0.4784  3 Pd 2.50-2.65
Pd: 0.5000 0.2452 0.7504  6 Pd 2.62-2.84, 1 Tm 2.73, 2 Pt 2.87
Pd: 0.5000 0.5000 0.2251  1 Tm 2.60, 6 Pd 2.65-2.84, 2 Pt 2.67
Pd: 0.5000 0.7548 0.7504  6 Pd 2.62-2.84, 1 Tm 2.73, 2 Pt 2.87
Pd: 0.7492 0.0000 0.4784  3 Pd 2.50-2.65
Pd: 0.7508 0.5000 0.9784  3 Pd 2.50-2.65
Pt: 0.0000 0.5000 0.7127  8 Pd 2.67-2.87
Pt: 0.5000 0.0000 0.2127  8 Pd 2.67-2.87

***

> Which of these has the lowest calculated total energy?

Tm6Pd8Pt

***

> The lowest calculated total energy belongs to which entry?

Tm6Pd8Pt

***

Please write out number 1 again, unchanged.
Tm6Pd8Pt after structural relaxation. Source: the Alexandria database, functional PBE.

Calculated values
- Calculated total energy: -85.9 eV for the cell shown
- Space group: R-3

a = 7.3671 Å, b = 7.3671 Å, c = 7.3671 Å
α = 66.21°, β = 66.21°, γ = 66.21°
Closest atoms and distances in Å follow each position.
Atoms (fractional coordinates):
Tm: 0.1149 0.8146 0.3729  6 Pd 2.71-2.99
Tm: 0.1854 0.6271 0.8851  6 Pd 2.71-2.99
Tm: 0.3729 0.1149 0.8146  6 Pd 2.71-2.99
Tm: 0.6271 0.8851 0.1854  6 Pd 2.71-2.99
Tm: 0.8146 0.3729 0.1149  6 Pd 2.71-2.99
Tm: 0.8851 0.1854 0.6271  6 Pd 2.71-2.99
Pd: 0.0628 0.4341 0.6811  5 Tm 2.71-2.99, 2 Pd 2.80-2.85
Pd: 0.2068 0.2068 0.2068  3 Pd 2.80, 6 Tm 2.89-3.04
Pd: 0.3189 0.9372 0.5659  5 Tm 2.71-2.99, 2 Pd 2.80-2.85
Pd: 0.4341 0.6811 0.0628  5 Tm 2.71-2.99, 2 Pd 2.80-2.85
Pd: 0.5659 0.3189 0.9372  5 Tm 2.71-2.99, 2 Pd 2.80-2.85
Pd: 0.6811 0.0628 0.4341  5 Tm 2.71-2.99, 2 Pd 2.80-2.85
Pd: 0.7932 0.7932 0.7932  3 Pd 2.80, 6 Tm 2.89-3.04
Pd: 0.9372 0.5659 0.3189  5 Tm 2.71-2.99, 2 Pd 2.80-2.85
Pt: 0.5000 0.5000 0.5000  6 Tm 3.06, 6 Pd 3.11

***

> Which of these has the lowest calculated total energy?

Tm6Pd8Pt